# 1
# NaBe2Cd, relaxed, DFT PBE
data_NaBe2Cd
_chemical_formula_sum 'Na4 Be8 Cd4'
_cell_length_a 4.3207
_cell_length_b 4.3207
_cell_length_c 17.5345
_cell_angle_alpha 90.00
_cell_angle_beta 90.00
_cell_angle_gamma 90.00
_symmetry_space_group_name_H-M 'I 41/a m d'
_symmetry_Int_Tables_number 141
loop_
_symmetry_equiv_pos_as_xyz
'x,y,z'
'-x,-y,-z'
'-y+1/4,x+3/4,z+1/4'
'y+1/4,-x+3/4,-z+1/4'
'-x+1/2,-y,z+1/2'
'x+1/2,y,-z+1/2'
'y+1/4,-x+1/4,z+3/4'
'-y+1/4,x+1/4,-z+3/4'
'x,-y,-z'
'-x,y,z'
'-y+1/4,-x+1/4,-z+3/4'
'y+1/4,x+1/4,z+3/4'
'-x+1/2,y,-z+1/2'
'x+1/2,-y,z+1/2'
'y+1/4,x+3/4,-z+1/4'
'-y+1/4,-x+3/4,z+1/4'
'x+1/2,y+1/2,z+1/2'
'-x+1/2,-y+1/2,-z+1/2'
'-y+3/4,x+1/4,z+3/4'
'y+3/4,-x+1/4,-z+3/4'
'-x,-y+1/2,z'
'x,y+1/2,-z'
'y+3/4,-x+3/4,z+1/4'
'-y+3/4,x+3/4,-z+1/4'
'x+1/2,-y+1/2,-z+1/2'
'-x+1/2,y+1/2,z+1/2'
'-y+3/4,-x+3/4,-z+1/4'
'y+3/4,x+3/4,z+1/4'
'-x,y+1/2,-z'
'x,-y+1/2,z'
'y+3/4,x+1/4,-z+3/4'
'-y+3/4,-x+1/4,z+3/4'
loop_
_atom_site_label
_atom_site_type_symbol
_atom_site_fract_x
_atom_site_fract_y
_atom_site_fract_z
Na1 Na 0.0000 0.2500 0.3750
Be1 Be 0.0000 0.0000 0.0000
Cd1 Cd 0.0000 0.2500 0.8750
# Magnetization, μB/f.u.: 0.0
# Energy, eV/cell: -29.992
# Theoretical density, Mg/m³: 3.1

=====

# 2
# NaBeCd3, relaxed, DFT PBE
data_NaBeCd3
_chemical_formula_sum 'Na1 Be1 Cd3'
_cell_length_a 4.7964
_cell_length_b 4.7964
_cell_length_c 4.7964
_cell_angle_alpha 90.00
_cell_angle_beta 90.00
_cell_angle_gamma 90.00
_symmetry_space_group_name_H-M 'P m -3 m'
_symmetry_Int_Tables_number 221
_symmetry_space_group_name_Hall '-P 4 2 3'
loop_
_atom_site_label
_atom_site_type_symbol
_atom_site_fract_x
_atom_site_fract_y
_atom_site_fract_z
Na1 Na 0.0000 0.0000 0.0000
Be1 Be 0.5000 0.5000 0.5000
Cd1 Cd 0.0000 0.5000 0.5000
# Distance to the lowest polymorph of the same formula, meV per atom: 0.0
# Magnetization, μB/f.u.: 0.0
# Theoretical density, Mg/m³: 5.6